# SrRu2Se, relaxed, DFT PBE-GGA
data_SrRu2Se
_space_group_name_H-M_alt 'P 1'
_space_group_IT_number 1
_cell_length_a 4.0416
_cell_length_b 4.0416
_cell_length_c 4.7344
_cell_angle_alpha 90.00
_cell_angle_beta 90.00
_cell_angle_gamma 90.00
loop_
_space_group_symop_operation_xyz
'x,y,z'
loop_
_atom_site_label
_atom_site_type_symbol
_atom_site_fract_x
_atom_site_fract_y
_atom_site_fract_z
Sr1 Sr 0.0000 0.0000 0.0000
Ru1 Ru 0.0000 0.5000 0.5000
Ru2 Ru 0.5000 0.0000 0.5000
Se1 Se 0.5000 0.5000 0.0000
# * space group: P4/mmm, No. 123
# * final energy: -5.494 eV per atom
# * formation energy (no corrections): 435 meV per atom